! PmSm4Se6 (PBE, relaxed); values from VASP
! Electronic total energy, eV per cell: -129.9
! Energy relative to the elements, uncorrected, meV per atom: -1856
&SYSTEM
  ibrav = 0, nat = 22, ntyp = 3
/
ATOMIC_SPECIES
Pm 145.00 Pm.upf
Sm 150.36 Sm.upf
Se 78.96 Se.upf
CELL_PARAMETERS angstrom
-2.7697 -0.7554 -2.9081
-0.4908 -5.3451 4.7269
-14.4432 10.9711 10.9061
ATOMIC_POSITIONS angstrom
Pm -5.5753 0.5964 2.2840
Pm -12.1284 4.2742 10.4409
Sm -10.5140 1.4218 6.7732
Sm -3.3830 -3.3046 4.0804
Sm -7.1897 3.4488 5.9517
Sm -14.3207 8.1752 8.6446
Sm -16.6156 6.0565 11.3805
Sm -1.0882 -1.1859 1.3444
Sm -10.7821 5.4872 5.9725
Sm -6.9217 -0.6166 6.7524
Se -1.3848 -0.3777 -1.4540
Se -8.6065 5.1079 3.9990
Se -5.0047 3.0407 3.9767
Se -12.6991 1.8299 8.7483
Se -15.0875 3.6441 10.5518
Se -2.6162 1.2265 2.1731
Se -8.2959 1.0249 4.7638
Se -9.4078 3.8457 7.9612
Se -13.9893 7.3257 11.4206
Se -3.7145 -2.4551 1.3043
Se -4.7749 -0.8090 4.7578
Se -12.9288 5.6796 7.9671